(1)
Material: CeAlTc
Method: DFT, GGA-PBE
State: relaxed

Cell lengths 3.6415, 4.4285, 4.4285 Å; angles 120.00, 90.00, 90.00 degrees
Positions (direct):
Al  0.4999  0.3333  0.6667
Ce  0.0000  0.0000  0.0000
Tc  0.5002  0.6667  0.3333

Properties
The calculation puts the density of states at the Fermi level at 3.797 states/eV per cell. The formation energy comes out at -0.39 eV per formula unit. Its space group is No. 187. Its energy above the most stable polymorph in this dataset is 0.2507 eV per atom. As for the final energy: -6.811 eV per atom. The total moment comes out at 0.000 μB per formula unit.

---

(2)
Material: LiOs2Pb
Method: DFT, GGA-PBE
State: relaxed

Cell lengths 3.6461, 2.8860, 7.3265 Å; angles 66.91, 90.00, 90.00 degrees
Positions (direct):
Li  0.5000  0.7103  0.7895
Os  0.0000  0.9768  0.0228
Os  0.5000  0.3121  0.1888
Pb  0.0000  0.5009  0.4989

Properties
The calculation puts the density of states at the Fermi level at 2.192 states/eV per cell. The formation energy comes out at 1.74 eV per formula unit. Its space group is No. 6. As for the final energy: -6.586 eV per atom. The total moment comes out at 0.000 μB per formula unit.

---

(3)
Material: HfBeIn
Method: DFT, GGA-PBE
State: relaxed

Cell lengths 3.5423, 3.9150, 8.0117 Å; angles 104.14, 90.00, 90.00 degrees
Positions (direct):
In  0.7500  0.2998  0.5996
Hf  0.7500  0.0796  0.1593
Be  0.2500  0.5378  0.0756
Be  0.7500  0.4622  0.9244
Hf  0.2500  0.9204  0.8407
In  0.2500  0.7002  0.4004

Properties
The calculation puts the density of states at the Fermi level at 3.913 states/eV per cell. The formation energy comes out at -0.42 eV per formula unit. Its space group is No. 63. Its energy above the most stable polymorph in this dataset is 0.0000 eV per atom. As for the final energy: -5.613 eV per atom. The total moment comes out at 0.000 μB per formula unit.

---

(4)
Material: Y12Tm7Th
Method: DFT, GGA-PBE
State: relaxed

Cell lengths 8.6955, 8.6955, 8.6955 Å; angles 89.31, 89.31, 89.31 degrees
Positions (direct):
Th  0.0000  0.0000  0.0000
Y  0.2587  0.1321  0.7196
Tm  0.8487  0.6213  0.9495
Tm  0.1513  0.3787  0.0505
Y  0.1321  0.7196  0.2587
Tm  0.3787  0.0505  0.1513
Y  0.3836  0.8520  0.4974
Y  0.8679  0.2804  0.7413
Tm  0.6213  0.9495  0.8487
Tm  0.5000  0.5000  0.5000
Tm  0.9495  0.8487  0.6213
Y  0.7196  0.2587  0.1321
Y  0.1480  0.5026  0.6164
Y  0.6164  0.1480  0.5026
Y  0.8520  0.4974  0.3836
Tm  0.0505  0.1513  0.3787
Y  0.5026  0.6164  0.1480
Y  0.7413  0.8679  0.2804
Y  0.2804  0.7413  0.8679
Y  0.4974  0.3836  0.8520

Properties
The calculation puts the density of states at the Fermi level at 42.654 states/eV per cell. The formation energy comes out at 4.92 eV per formula unit. Its space group is No. 148. Its energy above the most stable polymorph in this dataset is 0.0000 eV per atom. As for the final energy: -5.568 eV per atom. The total moment comes out at 0.002 μB per formula unit.

---

(5)
Material: TlFeSeBr2
Method: DFT, GGA-PBE
State: relaxed

Cell lengths 5.5798, 5.5798, 5.4528 Å; angles 90.00, 90.00, 90.00 degrees
Positions (direct):
Fe  0.5000  0.5000  0.5000
Br  0.0000  0.5000  0.0000
Br  0.5000  0.0000  0.0000
Tl  0.0000  0.0000  0.0000
Se  0.0000  0.0000  0.5000

Properties
The calculation puts the density of states at the Fermi level at 8.018 states/eV per cell. Its space group is No. 123. Its energy above the most stable polymorph in this dataset is 0.7701 eV per atom. As for the final energy: -2.914 eV per atom. The total moment comes out at 3.732 μB per formula unit. The formation energy from raw total energies is 618 meV/atom.

---

(6)
Material: Li2IrAu
Method: DFT, GGA-PBE
State: relaxed

Cell lengths 4.3842, 2.6022, 5.2592 Å; angles 75.48, 90.00, 90.00 degrees
Positions (direct):
Ir  0.5000  0.8015  0.7756
Li  0.5000  0.0550  0.2531
Au  0.0000  0.4459  0.4813
Li  0.0000  0.1976  0.9899

Properties
The calculation puts the density of states at the Fermi level at 1.941 states/eV per cell. The formation energy comes out at -0.63 eV per formula unit. Its space group is No. 6. As for the final energy: -4.149 eV per atom. The total moment comes out at 0.000 μB per formula unit.